1.
Compound: Li2TbCd7
Source: the Alexandria database
Functional: GGA-PBE
Structure: relaxed

Computed properties:
Total magnetization: 0.000 μB/cell
Energy: -1.633 eV per atom
Crystal system: trigonal

The structure in CIF format:
```
data_Li2TbCd7
_chemical_formula_sum 'Li2 Tb1 Cd7'
_cell_length_a 4.9194
_cell_length_b 4.9194
_cell_length_c 10.7832
_cell_angle_alpha 90.00
_cell_angle_beta 90.00
_cell_angle_gamma 120.00
_symmetry_space_group_name_H-M 'P 3 m 1'
_symmetry_Int_Tables_number 156
_symmetry_space_group_name_Hall 'P 3 -2"'
loop_
_atom_site_label
_atom_site_type_symbol
_atom_site_fract_x
_atom_site_fract_y
_atom_site_fract_z
Li1 Li 0.0000 0.0000 0.0000
Li2 Li 0.3333 0.6667 0.8340
Tb1 Tb 0.6667 0.3333 0.3177
Cd1 Cd 0.0000 0.0000 0.2275
Cd2 Cd 0.0000 0.0000 0.4979
Cd3 Cd 0.0000 0.0000 0.7612
Cd4 Cd 0.3333 0.6667 0.1204
Cd5 Cd 0.3333 0.6667 0.4653
Cd6 Cd 0.6667 0.3333 0.6376
Cd7 Cd 0.6667 0.3333 0.9465
```

***

2.
Compound: Ca3YAg
Source: the Alexandria database
Functional: GGA-PBE
Structure: relaxed

Computed properties:
Total magnetization: 3.651 μB/cell
Energy: -2.087 eV per atom
E above lowest polymorph: 0.836 eV/atom
Crystal system: cubic

The structure in CIF format:
```
data_Ca3YAg
_chemical_formula_sum 'Ca3 Y1 Ag1'
_cell_length_a 6.171
_cell_length_b 6.171
_cell_length_c 6.171
_cell_angle_alpha 90.00
_cell_angle_beta 90.00
_cell_angle_gamma 90.00
_symmetry_space_group_name_H-M 'P m -3 m'
_symmetry_Int_Tables_number 221
_symmetry_space_group_name_Hall '-P 4 2 3'
loop_
_atom_site_label
_atom_site_type_symbol
_atom_site_fract_x
_atom_site_fract_y
_atom_site_fract_z
Ca1 Ca 0.000 0.000 0.500
Y1 Y 0.000 0.000 0.000
Ag1 Ag 0.500 0.500 0.500
```

***

3.
Compound: Tb2Al3Pt4
Source: the Alexandria database
Functional: GGA-PBE
Structure: relaxed

Computed properties:
Total magnetization: 0.000 μB/cell
Energy: -6.142 eV per atom
Crystal system: orthorhombic

The structure in CIF format:
```
data_Tb2Al3Pt4
_chemical_formula_sum 'Tb8 Al12 Pt16'
_cell_length_a 5.606
_cell_length_b 15.331
_cell_length_c 7.585
_cell_angle_alpha 90.00
_cell_angle_beta 90.00
_cell_angle_gamma 90.00
_symmetry_space_group_name_H-M 'C m c e'
_symmetry_Int_Tables_number 64
_symmetry_space_group_name_Hall '-C 2ac 2'
loop_
_atom_site_label
_atom_site_type_symbol
_atom_site_fract_x
_atom_site_fract_y
_atom_site_fract_z
Tb1 Tb 0.000 0.106 0.092
Al1 Al 0.000 0.000 0.500
Al2 Al 0.250 0.228 0.750
Pt1 Pt 0.000 0.183 0.473
Pt2 Pt 0.250 0.060 0.750
```

***

4.
Compound: Sr2Zn4Rh
Source: the Alexandria database
Functional: GGA-PBE
Structure: relaxed

Computed properties:
Total magnetization: 0.000 μB/cell
Energy: -2.458 eV per atom
Crystal system: tetragonal

The structure in CIF format:
```
data_Sr2Zn4Rh
_chemical_formula_sum 'Sr4 Zn8 Rh2'
_cell_length_a 4.836
_cell_length_b 4.836
_cell_length_c 16.002
_cell_angle_alpha 90.00
_cell_angle_beta 90.00
_cell_angle_gamma 90.00
_symmetry_space_group_name_H-M 'I 4/m m m'
_symmetry_Int_Tables_number 139
_symmetry_space_group_name_Hall '-I 4 2'
loop_
_atom_site_label
_atom_site_type_symbol
_atom_site_fract_x
_atom_site_fract_y
_atom_site_fract_z
Sr1 Sr 0.000 0.000 0.144
Zn1 Zn 0.000 0.000 0.347
Zn2 Zn 0.000 0.500 0.000
Rh1 Rh 0.000 0.000 0.500
```